DFT (PBE) results for a geometry-optimized Pr3Sm8Th structure.

energy relative to the elements = 3.71 eV per formula unit
M_tot = 0.00 μB per cell

Cell: 8.8576 8.8576 8.8576 Å, 98.13 97.55 136.65°
Positions (direct):
Sm (0.1688, 0.2479, 0.4168)
Sm (0.4977, 0.2478, 0.2502)
Sm (0.8311, 0.7520, 0.5832)
Sm (0.8312, 0.2480, 0.0791)
Sm (0.1689, 0.7521, 0.9209)
Sm (0.0024, 0.7522, 0.2499)
Sm (0.5023, 0.7525, 0.7501)
Sm (0.9976, 0.2475, 0.7498)
Pr (0.5000, 0.2633, 0.7633)
Pr (0.5000, 0.7367, 0.2367)
Pr (0.0000, 0.5000, 0.5000)
Th (0.0000, 0.0000, 0.0000)